(1)
Ca2CdGaCu after structural relaxation. Source: Alexandria, functional PBE.

Calculated values
Symmetry: P4/mmm (123)
Final energy: -12.81 eV for the cell shown
Formation energy: -0.8 eV per formula unit

Cell lengths 5.530, 5.530, 4.539 Å; angles 90.00, 90.00, 90.00 degrees
Positions (direct):
1 Ca 0.000 0.500 0.000
2 Ca 0.500 0.000 0.000
3 Cd 0.000 0.000 0.500
4 Ga 0.500 0.500 0.500
5 Cu 0.500 0.500 0.000

---

(2)
Ce3GaRu2 after structural relaxation. Source: Alexandria, functional PBE.

Calculated values
ΔE to the lowest computed polymorph: 111 meV/atom
Symmetry: C2/m (12)
Final energy: -83.20 eV for the cell shown
Formation energy: -2.2 eV per formula unit

Cell lengths 7.940, 7.940, 7.907 Å; angles 104.17, 104.17, 33.83 degrees
Positions (direct):
1 Ce 0.080 0.080 0.212
2 Ce 0.235 0.235 0.684
3 Ce 0.402 0.402 0.117
4 Ce 0.598 0.598 0.883
5 Ce 0.765 0.765 0.316
6 Ce 0.920 0.920 0.788
7 Ga 0.414 0.414 0.522
8 Ga 0.586 0.586 0.478
9 Ru 0.060 0.060 0.656
10 Ru 0.196 0.196 0.053
11 Ru 0.804 0.804 0.947
12 Ru 0.940 0.940 0.344

---

(3)
HfTePCl2 after structural relaxation. Source: Alexandria, functional PBE.

Calculated values
ΔE_f (raw): -0.458 eV per atom
ΔE to the lowest computed polymorph: 0 meV/atom
Symmetry: P4/mmm (123)
Final energy: -24.49 eV for the cell shown

Cell lengths 4.815, 4.815, 5.426 Å; angles 90.00, 90.00, 90.00 degrees
Positions (direct):
1 Hf 0.000 0.000 0.000
2 Te 0.500 0.500 0.500
3 P 0.000 0.000 0.500
4 Cl 0.000 0.500 0.000
5 Cl 0.500 0.000 0.000